Entry 1:
DFT (GGA-PBE) results for a geometry-optimized Nb4B2AuS structure.

```
data_Nb4B2AuS
_chemical_formula_sum 'Nb4 B2 Au1 S1'
_cell_length_a 3.3040
_cell_length_b 3.3040
_cell_length_c 12.7292
_cell_angle_alpha 90.00
_cell_angle_beta 90.00
_cell_angle_gamma 120.00
_space_group_name_H-M_alt 'P -6 m 2'
_space_group_IT_number 187
_space_group_name_Hall 'P -6 2'
loop_
_atom_site_label
_atom_site_fract_x
_atom_site_fract_y
_atom_site_fract_z
Nb1 0.0000 0.0000 0.1349
Nb2 0.3333 0.6667 0.3265
B1 0.6667 0.3333 0.2349
Au1 0.0000 0.0000 0.5000
S1 0.3333 0.6667 0.0000
```

Results
E in eV/atom: -8.246

---

Entry 2:
DFT (GGA-PBE) results for a geometry-optimized DyYCd6 structure.

```
data_DyYCd6
_chemical_formula_sum 'Dy1 Y1 Cd6'
_cell_length_a 5.059
_cell_length_b 5.059
_cell_length_c 7.149
_cell_angle_alpha 90.00
_cell_angle_beta 90.00
_cell_angle_gamma 90.00
_space_group_name_H-M_alt 'P 4/m m m'
_space_group_IT_number 123
_space_group_name_Hall '-P 4 2'
loop_
_atom_site_label
_atom_site_fract_x
_atom_site_fract_y
_atom_site_fract_z
Dy1 0.000 0.000 0.000
Y1 0.500 0.500 0.500
Cd1 0.000 0.000 0.500
Cd2 0.000 0.500 0.249
Cd3 0.500 0.500 0.000
```

Results
E in eV/atom: -2.339
Relative energy among the computed polymorphs in kJ per mole of atoms: 1.2
Formation energy from the elements in eV per atom: -0.284